[1]
Below is an optimized crystal structure of MnAlTc2, with properties calculated at the GGA-PBEsol level.

For the density, the calculation gives 8.7 Mg/m³. Its formation energy is 0.0227 eV/atom.

a = 2.693 Å, b = 2.693 Å, c = 25.242 Å
α = 90.00°, β = 90.00°, γ = 120.00°
Fractional coordinates of all 12 atoms:
Mn 0.000 0.000 0.000
Mn 0.333 0.667 0.667
Mn 0.667 0.333 0.333
Al 0.000 0.000 0.253
Al 0.333 0.667 0.919
Al 0.667 0.333 0.586
Tc 0.000 0.000 0.498
Tc 0.000 0.000 0.745
Tc 0.333 0.667 0.164
Tc 0.333 0.667 0.412
Tc 0.667 0.333 0.079
Tc 0.667 0.333 0.831

=====

[2]
Below is an optimized crystal structure of InSiTe2As, with properties calculated at the GGA-PBEsol level.

The value obtained for the total DFT energy (no corrections) is -0.1358 Ha/atom. For the density, the calculation gives 5.5 Mg/m³.

a = 5.543 Å, b = 5.543 Å, c = 4.675 Å
α = 90.00°, β = 90.00°, γ = 90.00°
Fractional coordinates of all 5 atoms:
In 0.000 0.000 0.000
Si 0.500 0.500 0.000
Te 0.000 0.500 0.500
Te 0.500 0.000 0.500
As 0.500 0.500 0.500

=====

[3]
Below is an optimized crystal structure of KSn2P3O12, with properties calculated at the GGA-PBEsol level.

The value obtained for the total DFT energy (no corrections) is -0.2614 Ha/atom. For the density, the calculation gives 3.9 Mg/m³.

a = 9.263 Å, b = 9.263 Å, c = 9.263 Å
α = 53.87°, β = 53.87°, γ = 53.87°
Fractional coordinates of all 36 atoms:
K 0.000 0.000 0.000
K 0.500 0.500 0.500
Sn 0.148 0.148 0.148
Sn 0.346 0.346 0.346
Sn 0.654 0.654 0.654
Sn 0.852 0.852 0.852
P 0.040 0.749 0.460
P 0.251 0.540 0.960
P 0.460 0.040 0.749
P 0.540 0.960 0.251
P 0.749 0.460 0.040
P 0.960 0.251 0.540
O 0.020 0.780 0.617
O 0.109 0.738 0.876
O 0.124 0.891 0.262
O 0.153 0.213 0.528
O 0.183 0.541 0.476
O 0.213 0.528 0.153
O 0.220 0.383 0.980
O 0.262 0.124 0.891
O 0.383 0.980 0.220
O 0.459 0.524 0.817
O 0.472 0.847 0.787
O 0.476 0.183 0.541
O 0.524 0.817 0.459
O 0.528 0.153 0.213
O 0.541 0.476 0.183
O 0.617 0.020 0.780
O 0.738 0.876 0.109
O 0.780 0.617 0.020
O 0.787 0.472 0.847
O 0.817 0.459 0.524
O 0.847 0.787 0.472
O 0.876 0.109 0.738
O 0.891 0.262 0.124
O 0.980 0.220 0.383

=====

[4]
Below is an optimized crystal structure of LiVOF2, with properties calculated at the GGA-PBEsol level.

The energy above the most stable polymorph in this dataset is 0.00 eV/f.u. For the density, the calculation gives 3.5 Mg/m³.

a = 5.218 Å, b = 6.452 Å, c = 6.464 Å
α = 83.87°, β = 83.79°, γ = 82.65°
Fractional coordinates of all 20 atoms:
Li 0.174 0.273 0.094
Li 0.323 0.900 0.723
Li 0.677 0.100 0.277
Li 0.826 0.727 0.906
V 0.243 0.434 0.562
V 0.255 0.749 0.250
V 0.745 0.251 0.750
V 0.757 0.566 0.438
O 0.108 0.480 0.297
O 0.397 0.693 0.519
O 0.603 0.307 0.481
O 0.892 0.520 0.703
F 0.109 0.148 0.635
F 0.144 0.792 0.966
F 0.361 0.033 0.211
F 0.381 0.365 0.850
F 0.619 0.635 0.150
F 0.639 0.967 0.789
F 0.856 0.208 0.034
F 0.891 0.852 0.365

=====

For each record above, in turn, the calculated N(E_F) values are 1.0194, 0.7229, 0.0000, 0.3550 states/eV per atom.